[1]
Material: Tm3GaC
Method: DFT, PBE-GGA
State: relaxed

Summary:
**Spin magnetization**: 0.000 Bohr magnetons per cell
**Crystal system**: cubic
**Offset from the most stable computed form**: 8.48 eV per formula unit
**Symmetry**: No. 221

Geometry as POSCAR:
```
Tm3GaC
1.0
5.224 0.000 0.000
0.000 5.224 0.000
0.000 0.000 5.224
Tm Ga C
3 1 1
Cartesian
0.000 2.612 2.612
2.612 0.000 2.612
2.612 2.612 0.000
2.612 2.612 2.612
0.000 0.000 0.000
```

---

[2]
Material: Tm6Ga2C
Method: DFT, PBE-GGA
State: relaxed

Summary:
**Spin magnetization**: 0.000 Bohr magnetons per cell
**Crystal system**: tetragonal
**Symmetry**: No. 136

Geometry as POSCAR:
```
Tm6Ga2C
1.0
-3.971 -5.054 -1.652
1.818 -3.228 5.506
-8.163 4.644 5.418
Tm Ga C
12 4 2
Cartesian
-3.464 -0.932 3.040
-4.303 -4.157 4.541
-6.198 0.335 8.684
-9.732 -0.780 4.314
-0.584 -2.859 4.958
-4.119 -3.973 0.588
-6.014 0.519 4.732
-6.852 -2.707 6.233
-0.536 -2.062 0.959
-1.617 -6.220 2.895
-3.717 -1.365 6.418
-6.599 -2.274 2.854
-2.934 1.669 1.947
-8.092 -0.150 6.584
-2.224 -3.488 2.689
-5.229 2.975 3.471
0.000 0.000 0.000
-5.158 -1.819 4.636
```

---

[3]
Material: Y2TmGaC
Method: DFT, PBE-GGA
State: relaxed

Summary:
**Spin magnetization**: 0.000 Bohr magnetons per cell
**Crystal system**: tetragonal
**Symmetry**: No. 123

Geometry as POSCAR:
```
Y2TmGaC
1.0
-1.572 3.145 -3.241
-4.568 -0.708 1.529
0.526 3.599 3.237
Y Tm Ga C
2 1 1 1
Cartesian
0.263 1.799 1.618
-2.284 -0.354 0.764
-0.786 1.572 -1.620
-2.807 3.018 0.762
0.000 0.000 0.000
```

---

[4]
Material: U2GaC
Method: DFT, PBE-GGA
State: relaxed

Summary:
**Spin magnetization**: 1.414 Bohr magnetons per cell
**Crystal system**: trigonal
**Symmetry**: No. 160

Geometry as POSCAR:
```
U2GaC
1.0
-1.203 2.841 -0.369
-0.900 -2.322 -1.859
-5.076 -3.036 6.253
U Ga C
2 1 1
Cartesian
-2.235 0.769 0.122
-4.942 -3.284 3.901
-4.092 -1.560 1.333
-0.901 -2.321 -1.859
```

---

[5]
Material: UGaC
Method: DFT, PBE-GGA
State: relaxed

Summary:
**Spin magnetization**: 0.530 Bohr magnetons per cell
**Crystal system**: hexagonal
**Symmetry**: No. 187

Geometry as POSCAR:
```
UGaC
1.0
4.565 0.000 0.000
0.000 3.791 0.000
0.000 -1.896 3.283
C U Ga
1 1 1
Cartesian
0.763 0.000 0.000
0.760 1.896 1.094
3.042 0.000 2.189
```

---

[6]
Material: U2GaC
Method: DFT, PBE-GGA
State: relaxed

Summary:
**Spin magnetization**: 0.000 Bohr magnetons per cell
**Crystal system**: trigonal
**Symmetry**: No. 166

Geometry as POSCAR:
```
U2GaC
1.0
3.097 0.000 0.000
1.549 2.682 0.000
1.549 0.894 8.385
C U Ga
1 2 1
Cartesian
0.000 0.000 0.000
4.646 2.682 6.834
1.549 0.894 1.551
3.097 1.788 4.192
```

---

| no. | DFT formation energy (eV/atom) |
| --- | --- |
| 1 | 1.1824 |
| 2 | -0.1332 |
| 3 | -0.4919 |
| 4 | -0.1000 |
| 5 | 0.3901 |
| 6 | -0.1048 |